{
  "formula": "In2NiMo",
  "functional": "PBE",
  "state": "relaxed",
  "formation_enthalpy_0k_ev_per_atom": 0.284,
  "polymorph_energy_ev_per_atom": 0.082,
  "e_tot_ry_per_atom": -0.3850,
  "density_g_cm3": 9.1,
  "n_ef_per_ev_atom": 0.504,
  "spacegroup": "R-3m (166)",
  "lattice": [[-1.900, -6.806, -5.602], [-0.358, -8.312, -3.478], [-3.316, -7.786, -3.113]],
  "species": ["In", "Ni", "In", "Mo"],
  "frac_coords": [[0.494, 0.494, 0.494], [0.750, 0.750, 0.750], [0.006, 0.006, 0.006], [0.250, 0.250, 0.250]]
}

=====

{
  "formula": "Si6Tc2Ru",
  "functional": "PBE",
  "state": "relaxed",
  "e_form_raw_mev_per_atom": -255,
  "e_tot_ry_per_atom": -0.5295,
  "density_g_cm3": 5.8,
  "n_ef_per_ev_atom": 0.353,
  "spacegroup": "Immm (71)",
  "lattice": [[3.181, -0.004, -0.647], [-0.640, 6.182, -3.186], [-0.236, -0.374, 6.976]],
  "species": ["Tc", "Si", "Ru", "Si", "Tc", "Si", "Si", "Si", "Si"],
  "frac_coords": [[0.655, 0.655, 0.310], [0.500, 0.740, 0.000], [0.000, 0.000, 0.000], [0.831, 0.613, 0.661], [0.345, 0.345, 0.690], [0.500, 0.260, 0.000], [0.831, 0.048, 0.661], [0.169, 0.952, 0.339], [0.169, 0.387, 0.339]]
}